No. 1
First-principles (PBE) data for crystalline Ac6NbSe12 at its relaxed geometry, as listed in Alexandria.

Lattice parameters (Å, degrees): 8.659 8.659 8.659 98.40 98.40 98.40
Sites, in units of the cell vectors:
Ac  0.131  0.798  0.636
Ac  0.202  0.364  0.869
Ac  0.364  0.869  0.202
Ac  0.636  0.131  0.798
Ac  0.798  0.636  0.131
Ac  0.869  0.202  0.364
Nb  0.500  0.500  0.500
Se  0.058  0.918  0.320
Se  0.082  0.680  0.942
Se  0.197  0.439  0.519
Se  0.320  0.058  0.918
Se  0.439  0.519  0.197
Se  0.481  0.803  0.561
Se  0.519  0.197  0.439
Se  0.561  0.481  0.803
Se  0.680  0.942  0.082
Se  0.803  0.561  0.481
Se  0.918  0.320  0.058
Se  0.942  0.082  0.680

## Properties
* SG: R-3, No. 148
* formation energy without anion corrections: -3033 kJ/mol of formula units

---

No. 2
First-principles (PBE) data for crystalline AcNb4Se8 at its relaxed geometry, as listed in Alexandria.

Lattice parameters (Å, degrees): 7.765 7.765 7.765 60.00 60.00 60.00
Sites, in units of the cell vectors:
Ac  0.000  0.000  0.000
Nb  0.398  0.398  0.398
Nb  0.398  0.398  0.807
Nb  0.398  0.807  0.398
Nb  0.807  0.398  0.398
Se  0.110  0.630  0.630
Se  0.149  0.149  0.149
Se  0.149  0.149  0.553
Se  0.149  0.553  0.149
Se  0.553  0.149  0.149
Se  0.630  0.110  0.630
Se  0.630  0.630  0.110
Se  0.630  0.630  0.630

## Properties
* SG: F-43m, No. 216
* formation energy without anion corrections: -1133 kJ/mol of formula units

---

No. 3
First-principles (PBE) data for crystalline AcNb4Se8 at its relaxed geometry, as listed in Alexandria.

Lattice parameters (Å, degrees): 8.693 8.693 8.693 48.13 48.13 48.13
Sites, in units of the cell vectors:
Ac  0.000  0.000  0.000
Nb  0.000  0.000  0.500
Nb  0.000  0.500  0.000
Nb  0.500  0.000  0.000
Nb  0.500  0.500  0.500
Se  0.239  0.239  0.239
Se  0.249  0.734  0.734
Se  0.266  0.266  0.751
Se  0.266  0.751  0.266
Se  0.734  0.249  0.734
Se  0.734  0.734  0.249
Se  0.751  0.266  0.266
Se  0.761  0.761  0.761

## Properties
* SG: R-3m, No. 166
* formation energy without anion corrections: -1231 kJ/mol of formula units

---

Result set for calculated total energy: -108.0 -84.0 -85.0 eV/cell, one per record in the order listed.